Record 1
Computed, not measured: a relaxed U2AgPd8 crystal at the PBE level of DFT.

Cell lengths 4.048, 8.155, 7.558 Å; angles 122.65, 105.54, 90.00 degrees
Last column: magnetic moment on the atom in μB.
Sites, in units of the cell vectors:
U  0.157  0.657  0.314  1.76
U  0.843  0.343  0.686  1.76
Ag  0.500  0.000  0.000  0.01
Pd  0.662  0.908  0.323  -0.05
Pd  0.338  0.585  0.677  -0.05
Pd  0.176  0.176  0.353  -0.02
Pd  0.000  0.252  0.000  -0.04
Pd  0.824  0.824  0.647  -0.02
Pd  0.662  0.415  0.323  -0.05
Pd  0.338  0.092  0.677  -0.05
Pd  0.000  0.748  0.000  -0.04

Calculated values
The volume is 18.1 A^3/atom. As for the formation energy: -0.296 eV per atom. The calculation puts the magnetization at 3.493 μB per formula unit. Its space group is Immm.

=====

Record 2
Computed, not measured: a relaxed UAgPd2 crystal at the PBE level of DFT.

Cell lengths 3.263, 3.263, 6.937 Å; angles 90.00, 90.00, 90.00 degrees
Last column: magnetic moment on the atom in μB.
Sites, in units of the cell vectors:
U  0.500  0.500  0.000  1.24
Pd  0.000  0.000  0.741  -0.07
Pd  0.000  0.000  0.259  -0.07
Ag  0.500  0.500  0.500  0.00

Calculated values
The volume is 18.5 A^3/atom. As for the formation energy: -0.181 eV per atom. The offset from the most stable computed form comes out at 0 meV per atom. The calculation puts the magnetization at 1.191 μB per formula unit. Its space group is P4/mmm.

=====

Record 3
Computed, not measured: a relaxed UAgPd2 crystal at the PBE level of DFT.

Cell lengths 2.936, 2.936, 9.762 Å; angles 81.35, 81.35, 60.00 degrees
Last column: magnetic moment on the atom in μB.
Sites, in units of the cell vectors:
U  0.000  0.000  0.000  1.80
Pd  0.752  0.752  0.745  0.05
Pd  0.248  0.248  0.255  0.05
Ag  0.500  0.500  0.500  0.01

Calculated values
The volume is 17.9 A^3/atom. As for the formation energy: -0.072 eV per atom. The offset from the most stable computed form comes out at 108 meV per atom. The calculation puts the magnetization at 2.019 μB per formula unit. Its space group is R-3m.

=====

Record 4
Computed, not measured: a relaxed UAg3Pd12 crystal at the PBE level of DFT.

Cell lengths 4.060, 4.060, 15.885 Å; angles 90.00, 90.00, 90.00 degrees
Last column: magnetic moment on the atom in μB.
Sites, in units of the cell vectors:
U  0.000  0.000  0.000  1.14
Ag  0.000  0.000  0.254  0.00
Ag  0.000  0.000  0.500  0.00
Ag  0.000  0.000  0.746  0.00
Pd  0.500  0.500  0.000  -0.04
Pd  0.500  0.500  0.253  -0.01
Pd  0.500  0.500  0.500  0.02
Pd  0.500  0.500  0.747  -0.01
Pd  0.500  0.000  0.125  -0.04
Pd  0.500  0.000  0.377  0.00
Pd  0.500  0.000  0.623  0.00
Pd  0.500  0.000  0.875  -0.04
Pd  0.000  0.500  0.125  -0.04
Pd  0.000  0.500  0.377  0.00
Pd  0.000  0.500  0.623  0.00
Pd  0.000  0.500  0.875  -0.04

Calculated values
The volume is 16.4 A^3/atom. As for the formation energy: -0.171 eV per atom. The calculation puts the magnetization at 1.038 μB per formula unit. Its space group is P4/mmm.

=====

Record 5
Computed, not measured: a relaxed U2AgPd9 crystal at the PBE level of DFT.

Cell lengths 4.121, 4.121, 12.087 Å; angles 90.00, 90.00, 90.00 degrees
Last column: magnetic moment on the atom in μB.
Sites, in units of the cell vectors:
U  0.000  0.000  0.324  1.57
U  0.000  0.000  0.676  1.57
Ag  0.000  0.000  0.000  0.00
Pd  0.500  0.500  0.000  -0.03
Pd  0.500  0.500  0.334  -0.04
Pd  0.500  0.500  0.666  -0.04
Pd  0.500  0.000  0.167  -0.05
Pd  0.500  0.000  0.500  -0.05
Pd  0.500  0.000  0.833  -0.05
Pd  0.000  0.500  0.167  -0.05
Pd  0.000  0.500  0.500  -0.05
Pd  0.000  0.500  0.833  -0.05

Calculated values
The volume is 17.1 A^3/atom. As for the formation energy: -0.407 eV per atom. The calculation puts the magnetization at 2.859 μB per formula unit. Its space group is P4/mmm.

=====

Record 6
Computed, not measured: a relaxed V2AgPd2 crystal at the PBE level of DFT.

Cell lengths 7.536, 7.536, 2.733 Å; angles 90.00, 90.00, 90.00 degrees
Sites, in units of the cell vectors:
Ag  0.000  0.000  0.000
Ag  0.500  0.500  0.000
Pd  0.371  0.871  0.000
Pd  0.871  0.629  0.000
Pd  0.629  0.129  0.000
Pd  0.129  0.371  0.000
V  0.167  0.667  0.500
V  0.667  0.833  0.500
V  0.833  0.333  0.500
V  0.333  0.167  0.500

Calculated values
The volume is 15.5 A^3/atom. As for the formation energy: 0.024 eV per atom. The offset from the most stable computed form comes out at 0 meV per atom. The calculation puts the magnetization at 0.000 μB per formula unit. Its space group is P4/mbm.

=====

Record 7
Computed, not measured: a relaxed V2AgPd crystal at the PBE level of DFT.

Cell lengths 7.103, 7.103, 5.651 Å; angles 51.06, 51.06, 90.00 degrees
Sites, in units of the cell vectors:
Ag  0.000  0.000  0.000
Ag  0.750  0.250  0.500
Pd  0.500  0.500  0.000
Pd  0.250  0.750  0.500
V  0.600  0.125  0.250
V  0.150  0.625  0.250
V  0.375  0.400  0.750
V  0.875  0.850  0.750

Calculated values
The volume is 16.3 A^3/atom. As for the formation energy: 0.579 eV per atom. The offset from the most stable computed form comes out at 270 meV per atom. The calculation puts the magnetization at 0.000 μB per formula unit. Its space group is I-42d.

=====

Record 8
Computed, not measured: a relaxed V2AgPd crystal at the PBE level of DFT.

Cell lengths 4.478, 4.478, 4.478 Å; angles 60.00, 60.00, 60.00 degrees
Last column: magnetic moment on the atom in μB.
Sites, in units of the cell vectors:
Ag  0.500  0.500  0.500  0.08
Pd  0.000  0.000  0.000  0.18
V  0.250  0.250  0.250  1.88
V  0.750  0.750  0.750  1.88

Calculated values
The volume is 15.9 A^3/atom. As for the formation energy: 0.309 eV per atom. The offset from the most stable computed form comes out at 0 meV per atom. The calculation puts the magnetization at 4.592 μB per formula unit. Its space group is Fm-3m.